Entry 1:
Below is an optimized crystal structure of Hf3TaN, with properties calculated at the GGA-PBE level.

Structure (POSCAR):
```
Hf3TaN
1.0
5.1217 -2.2184 0.0000
5.1217 2.2184 0.0000
-3.7651 0.0000 7.8027
Hf Ta N
6 2 2
Direct
0.1153 0.1153 0.1906
0.1249 0.1249 0.6741
0.3650 0.3650 0.0655
0.6350 0.6350 0.9345
0.8751 0.8751 0.3259
0.8847 0.8847 0.8094
0.3589 0.3589 0.5454
0.6411 0.6411 0.4546
0.1233 0.1233 0.9359
0.8767 0.8767 0.0641
```

Computed properties:
Energy above the most stable polymorph in this dataset   47.3 meV/atom
Formation energy from raw total energies   -3.254 eV per formula unit
Total moment   0.000 μB/atom
SG   C2/m (12)
Total DFT energy (no corrections)   -106.58 eV per cell


Entry 2:
Below is an optimized crystal structure of Hf2TaN, with properties calculated at the GGA-PBE level.

Structure (POSCAR):
```
Hf2TaN
1.0
3.1187 0.0000 0.0000
-1.5593 2.7008 0.0000
0.0000 0.0000 24.5118
Hf Ta N
6 3 3
Direct
0.0000 0.0000 0.1133
0.0000 0.0000 0.8867
0.3333 0.6667 0.5533
0.3333 0.6667 0.7800
0.6667 0.3333 0.2200
0.6667 0.3333 0.4467
0.0000 0.0000 0.0000
0.3333 0.6667 0.6667
0.6667 0.3333 0.3333
0.0000 0.0000 0.5000
0.3333 0.6667 0.1667
0.6667 0.3333 0.8333
```

Computed properties:
Formation energy from raw total energies   -1.950 eV per formula unit
Total moment   0.000 μB/atom
SG   R-3m (166)
Total DFT energy (no corrections)   -126.10 eV per cell


Entry 3:
Below is an optimized crystal structure of HfTaN2, with properties calculated at the GGA-PBE level.

Structure (POSCAR):
```
HfTaN2
1.0
5.5611 0.0000 0.0000
0.0000 5.5611 0.0000
0.0000 0.0000 5.5611
Hf Ta N
4 4 8
Direct
0.0000 0.0000 0.0000
0.0000 0.5000 0.5000
0.5000 0.0000 0.5000
0.5000 0.5000 0.0000
0.0000 0.0000 0.5000
0.0000 0.5000 0.0000
0.5000 0.0000 0.0000
0.5000 0.5000 0.5000
0.2500 0.2500 0.2500
0.2500 0.2500 0.7500
0.2500 0.7500 0.2500
0.2500 0.7500 0.7500
0.7500 0.2500 0.2500
0.7500 0.2500 0.7500
0.7500 0.7500 0.2500
0.7500 0.7500 0.7500
```

Computed properties:
Formation energy from raw total energies   -2.383 eV per formula unit
Total moment   0.000 μB/atom
SG   Fm-3m (225)
Total DFT energy (no corrections)   -163.36 eV per cell


Entry 4:
Below is an optimized crystal structure of Hf3TaN, with properties calculated at the GGA-PBE level.

Structure (POSCAR):
```
Hf3TaN
1.0
6.3996 0.0000 0.0000
0.0000 5.4525 0.0000
0.0000 0.0000 5.0882
Hf Ta N
6 2 2
Direct
0.0000 0.1671 0.0000
0.2488 0.6647 0.0035
0.2512 0.3353 0.5035
0.5000 0.8329 0.5000
0.7488 0.3353 0.5035
0.7512 0.6647 0.0035
0.0000 0.8200 0.4938
0.5000 0.1800 0.9938
0.0000 0.5025 0.7503
0.5000 0.4975 0.2503
```

Computed properties:
Energy above the most stable polymorph in this dataset   10.7 meV/atom
Formation energy from raw total energies   -3.437 eV per formula unit
Total moment   0.000 μB/atom
SG   Pmn2_1 (31)
Total DFT energy (no corrections)   -106.95 eV per cell


Entry 5:
Below is an optimized crystal structure of HfTa3N, with properties calculated at the GGA-PBE level.

Structure (POSCAR):
```
HfTa3N
1.0
4.3365 0.0000 0.0000
0.0000 4.3365 0.0000
0.0000 0.0000 4.3365
Hf Ta N
1 3 1
Direct
0.0000 0.0000 0.0000
0.0000 0.5000 0.5000
0.5000 0.0000 0.5000
0.5000 0.5000 0.0000
0.5000 0.5000 0.5000
```

Computed properties:
Energy above the most stable polymorph in this dataset   0.0 meV/atom
Formation energy from raw total energies   -2.415 eV per formula unit
Total moment   0.000 μB/atom
SG   Pm-3m (221)
Total DFT energy (no corrections)   -56.25 eV per cell


Entry 6:
Below is an optimized crystal structure of Hf3TaN, with properties calculated at the GGA-PBE level.

Structure (POSCAR):
```
Hf3TaN
1.0
5.0510 0.0000 0.0000
0.0000 5.0510 0.0000
0.0000 0.0000 5.0510
Hf Ta N
3 1 1
Direct
0.0000 0.0000 0.5000
0.0000 0.5000 0.0000
0.5000 0.0000 0.0000
0.0000 0.0000 0.0000
0.5000 0.5000 0.5000
```

Computed properties:
Energy above the most stable polymorph in this dataset   2799.5 meV/atom
Formation energy from raw total energies   10.507 eV per formula unit
Total moment   0.000 μB/atom
SG   Pm-3m (221)
Total DFT energy (no corrections)   -39.53 eV per cell


Entry 7:
Below is an optimized crystal structure of Hf2TaN, with properties calculated at the GGA-PBE level.

Structure (POSCAR):
```
Hf2TaN
1.0
2.8901 0.0000 0.0000
0.0000 2.8901 0.0000
0.0000 0.0000 7.5761
Hf Ta N
2 1 1
Direct
0.0000 0.0000 0.1850
0.0000 0.0000 0.8150
0.5000 0.5000 0.5000
0.5000 0.5000 0.0000
```

Computed properties:
Formation energy from raw total energies   -0.892 eV per formula unit
Total moment   0.000 μB/atom
SG   P4/mmm (123)
Total DFT energy (no corrections)   -40.98 eV per cell


Entry 8:
Below is an optimized crystal structure of HfTaN2, with properties calculated at the GGA-PBE level.

Structure (POSCAR):
```
HfTaN2
1.0
6.1167 0.0000 0.0000
0.0000 5.2922 0.0000
0.0000 0.0000 5.5368
Hf Ta N
4 4 8
Direct
0.1273 0.0819 0.2500
0.1273 0.4181 0.7500
0.8727 0.5819 0.2500
0.8727 0.9181 0.7500
0.3782 0.5844 0.2500
0.3782 0.9156 0.7500
0.6218 0.0844 0.2500
0.6218 0.4156 0.7500
0.1315 0.7500 0.0000
0.1315 0.7500 0.5000
0.3808 0.2500 0.0000
0.3808 0.2500 0.5000
0.6192 0.7500 0.0000
0.6192 0.7500 0.5000
0.8685 0.2500 0.0000
0.8685 0.2500 0.5000
```

Computed properties:
Formation energy from raw total energies   -5.545 eV per formula unit
Total moment   0.000 μB/atom
SG   Pbcm (57)
Total DFT energy (no corrections)   -176.01 eV per cell


Entry 9:
Below is an optimized crystal structure of Hf2Ta2N, with properties calculated at the GGA-PBE level.

Structure (POSCAR):
```
Hf2Ta2N
1.0
5.7903 0.0000 0.0000
0.0000 5.7903 0.0000
0.0000 0.0000 5.4408
Hf Ta N
4 4 2
Direct
0.1706 0.3294 0.0000
0.3294 0.8294 0.0000
0.6706 0.1706 0.0000
0.8294 0.6706 0.0000
0.1627 0.6627 0.5000
0.3373 0.1627 0.5000
0.6627 0.8373 0.5000
0.8373 0.3373 0.5000
0.0000 0.0000 0.0000
0.5000 0.5000 0.0000
```

Computed properties:
Energy above the most stable polymorph in this dataset   0.0 meV/atom
Formation energy from raw total energies   0.307 eV per formula unit
Total moment   0.000 μB/atom
SG   P4/mbm (127)
Total DFT energy (no corrections)   -103.26 eV per cell


Entry 10:
Below is an optimized crystal structure of HfTaN, with properties calculated at the GGA-PBE level.

Structure (POSCAR):
```
HfTaN
1.0
3.3031 0.0000 0.0000
0.0000 3.3031 0.0000
0.0000 0.0000 7.8378
Hf Ta N
2 2 2
Direct
0.2500 0.2500 0.1445
0.7500 0.7500 0.8555
0.2500 0.2500 0.5897
0.7500 0.7500 0.4103
0.2500 0.2500 0.8648
0.7500 0.7500 0.1352
```

Computed properties:
Energy above the most stable polymorph in this dataset   0.0 meV/atom
Formation energy from raw total energies   -3.388 eV per formula unit
Total moment   0.000 μB/atom
SG   P4/nmm (129)
Total DFT energy (no corrections)   -67.04 eV per cell


Entry 11:
Below is an optimized crystal structure of HfTaN2, with properties calculated at the GGA-PBE level.

Structure (POSCAR):
```
HfTaN2
1.0
3.0433 0.0000 0.0000
-1.5216 2.6355 0.0000
0.0000 0.0000 16.9619
Hf Ta N
3 3 6
Direct
0.0000 0.0000 0.0000
0.3333 0.6667 0.6667
0.6667 0.3333 0.3333
0.0000 0.0000 0.1708
0.3333 0.6667 0.8374
0.6667 0.3333 0.5041
0.0000 0.0000 0.4209
0.0000 0.0000 0.5827
0.3333 0.6667 0.0875
0.3333 0.6667 0.2494
0.6667 0.3333 0.7542
0.6667 0.3333 0.9161
```

Computed properties:
Formation energy from raw total energies   -5.146 eV per formula unit
Total moment   0.000 μB/atom
SG   R3m (160)
Total DFT energy (no corrections)   -130.81 eV per cell


Entry 12:
Below is an optimized crystal structure of Hf2Ta2N, with properties calculated at the GGA-PBE level.

Structure (POSCAR):
```
Hf2Ta2N
1.0
3.4901 0.0000 0.0000
0.0000 3.4901 0.0000
0.0000 0.0000 15.7689
Hf Ta N
4 4 2
Direct
0.0000 0.0000 0.0890
0.0000 0.0000 0.9110
0.5000 0.5000 0.4110
0.5000 0.5000 0.5890
0.0000 0.5000 0.2500
0.0000 0.5000 0.7500
0.5000 0.0000 0.2500
0.5000 0.0000 0.7500
0.0000 0.0000 0.5000
0.5000 0.5000 0.0000
```

Computed properties:
Energy above the most stable polymorph in this dataset   893.5 meV/atom
Formation energy from raw total energies   4.774 eV per formula unit
Total moment   0.000 μB/atom
SG   I4/mmm (139)
Total DFT energy (no corrections)   -94.33 eV per cell


Entry 13:
Below is an optimized crystal structure of Hf2TaN4, with properties calculated at the GGA-PBE level.

Structure (POSCAR):
```
Hf2TaN4
1.0
0.0000 4.4836 4.4836
4.4836 0.0000 4.4836
4.4836 4.4836 0.0000
Hf Ta N
4 2 8
Direct
0.0000 0.0000 0.0000
0.0000 0.0000 0.5000
0.0000 0.5000 0.0000
0.5000 0.0000 0.0000
0.3750 0.3750 0.3750
0.6250 0.6250 0.6250
0.2402 0.7533 0.7533
0.2467 0.2467 0.2467
0.2467 0.2467 0.7598
0.2467 0.7598 0.2467
0.7533 0.2402 0.7533
0.7533 0.7533 0.2402
0.7533 0.7533 0.7533
0.7598 0.2467 0.2467
```

Computed properties:
Formation energy from raw total energies   -9.775 eV per formula unit
Total moment   0.000 μB/atom
SG   Fd-3m (227)
Total DFT energy (no corrections)   -149.67 eV per cell


Entry 14:
Below is an optimized crystal structure of HfTaN2, with properties calculated at the GGA-PBE level.

Structure (POSCAR):
```
HfTaN2
1.0
4.8263 0.0000 0.0000
0.0000 4.8263 0.0000
0.0000 0.0000 9.6852
Hf Ta N
4 4 8
Direct
0.0000 0.0000 0.0000
0.0000 0.5000 0.2500
0.5000 0.0000 0.7500
0.5000 0.5000 0.5000
0.0000 0.0000 0.5000
0.0000 0.5000 0.7500
0.5000 0.0000 0.2500
0.5000 0.5000 0.0000
0.2379 0.2500 0.6250
0.2500 0.7379 0.8750
0.2500 0.7621 0.3750
0.2621 0.2500 0.1250
0.7379 0.7500 0.1250
0.7500 0.2379 0.3750
0.7500 0.2621 0.8750
0.7621 0.7500 0.6250
```

Computed properties:
Formation energy from raw total energies   -4.381 eV per formula unit
Total moment   0.000 μB/atom
SG   I-42d (122)
Total DFT energy (no corrections)   -171.35 eV per cell


Entry 15:
Below is an optimized crystal structure of HfTa2N2, with properties calculated at the GGA-PBE level.

Structure (POSCAR):
```
HfTa2N2
1.0
6.9297 0.0000 0.0000
0.0000 6.9297 0.0000
0.0000 0.0000 2.8252
Hf Ta N
2 4 4
Direct
0.0000 0.0000 0.0000
0.5000 0.5000 0.0000
0.1401 0.3599 0.0000
0.3599 0.8599 0.0000
0.6401 0.1401 0.0000
0.8599 0.6401 0.0000
0.1302 0.6302 0.5000
0.3698 0.1302 0.5000
0.6302 0.8698 0.5000
0.8698 0.3698 0.5000
```

Computed properties:
Energy above the most stable polymorph in this dataset   1003.5 meV/atom
Formation energy from raw total energies   3.332 eV per formula unit
Total moment   0.000 μB/atom
SG   P4/mbm (127)
Total DFT energy (no corrections)   -93.95 eV per cell


Entry 16:
Below is an optimized crystal structure of HfTaN2, with properties calculated at the GGA-PBE level.

Structure (POSCAR):
```
HfTaN2
1.0
5.4893 0.0000 0.0000
0.0000 3.1637 0.0000
-1.8380 0.0000 5.1619
Hf Ta N
2 2 4
Direct
0.0000 0.0000 0.0000
0.5000 0.5000 0.0000
0.0000 0.5000 0.5000
0.5000 0.0000 0.5000
0.2501 0.0000 0.7505
0.2499 0.5000 0.2495
0.7499 0.0000 0.2495
0.7501 0.5000 0.7505
```

Computed properties:
Formation energy from raw total energies   -5.331 eV per formula unit
Total moment   0.000 μB/atom
SG   C2/m (12)
Total DFT energy (no corrections)   -87.58 eV per cell


Entry 17:
Below is an optimized crystal structure of HfTa3N, with properties calculated at the GGA-PBE level.

Structure (POSCAR):
```
HfTa3N
1.0
4.8913 0.0000 0.0000
0.0000 4.8913 0.0000
0.0000 0.0000 4.8913
Hf Ta N
1 3 1
Direct
0.0000 0.0000 0.0000
0.0000 0.0000 0.5000
0.0000 0.5000 0.0000
0.5000 0.0000 0.0000
0.5000 0.5000 0.5000
```

Computed properties:
Energy above the most stable polymorph in this dataset   3529.2 meV/atom
Formation energy from raw total energies   15.230 eV per formula unit
Total moment   0.000 μB/atom
SG   Pm-3m (221)
Total DFT energy (no corrections)   -38.61 eV per cell


Entry 18:
Below is an optimized crystal structure of HfTaN, with properties calculated at the GGA-PBE level.

Structure (POSCAR):
```
HfTaN
1.0
3.1560 0.0000 0.0000
-1.5780 2.7331 0.0000
0.0000 0.0000 5.0307
Hf Ta N
1 1 1
Direct
0.0000 0.0000 0.0000
0.6667 0.3333 0.4918
0.3333 0.6667 0.7408
```

Computed properties:
Energy above the most stable polymorph in this dataset   38.8 meV/atom
Formation energy from raw total energies   -3.272 eV per formula unit
Total moment   0.000 μB/atom
SG   P3m1 (156)
Total DFT energy (no corrections)   -33.40 eV per cell


Entry 19:
Below is an optimized crystal structure of Hf2TaN3, with properties calculated at the GGA-PBE level.

Structure (POSCAR):
```
Hf2TaN3
1.0
5.3496 0.0000 0.0000
-2.6748 4.6329 0.0000
0.0000 0.0000 3.0343
Hf Ta N
2 1 3
Direct
0.3333 0.6667 0.0000
0.6667 0.3333 0.0000
0.0000 0.0000 0.5000
0.0000 0.5000 0.5000
0.5000 0.0000 0.5000
0.5000 0.5000 0.5000
```

Computed properties:
Formation energy from raw total energies   -6.375 eV per formula unit
Total moment   0.000 μB/atom
SG   P6/mmm (191)
Total DFT energy (no corrections)   -63.11 eV per cell


Entry 20:
Below is an optimized crystal structure of HfTa2N2, with properties calculated at the GGA-PBE level.

Structure (POSCAR):
```
HfTa2N2
1.0
3.9899 0.0000 0.0000
0.0000 3.9899 0.0000
0.0000 0.0000 8.7440
Hf Ta N
2 4 4
Direct
0.0000 0.0000 0.0000
0.5000 0.5000 0.5000
0.0000 0.0000 0.3418
0.0000 0.0000 0.6582
0.5000 0.5000 0.1582
0.5000 0.5000 0.8418
0.0000 0.5000 0.2500
0.0000 0.5000 0.7500
0.5000 0.0000 0.2500
0.5000 0.0000 0.7500
```

Computed properties:
Energy above the most stable polymorph in this dataset   0.0 meV/atom
Formation energy from raw total energies   -1.686 eV per formula unit
Total moment   0.000 μB/atom
SG   I4/mmm (139)
Total DFT energy (no corrections)   -103.99 eV per cell